1.
VASP calculation (PBE) on crystalline SrCa2LaNi at its relaxed geometry.

Output
Space group: P4/mmm
Uncorrected energy, eV per atom: -3.374
Energy of formation from the pure elements, eV per formula unit: -0.48

Unit cell a=5.818 b=5.818 c=5.380 alpha=90.00 beta=90.00 gamma=90.00
Positions (direct):
Sr  0.000  0.000  0.000
Ca  0.000  0.500  0.500
Ca  0.500  0.000  0.500
La  0.500  0.500  0.000
Ni  0.500  0.500  0.500

=====

2.
VASP calculation (PBE) on crystalline SrCa2LaNi at its relaxed geometry.

Output
Space group: P4/mmm
Uncorrected energy, eV per atom: -3.163
Energy of formation from the pure elements, eV per formula unit: 0.58

Unit cell a=5.578 b=5.578 c=5.756 alpha=90.00 beta=90.00 gamma=90.00
Positions (direct):
Sr  0.000  0.000  0.000
Ca  0.000  0.500  0.500
Ca  0.500  0.000  0.500
La  0.500  0.500  0.000
Ni  0.000  0.000  0.500

=====

3.
VASP calculation (PBE) on crystalline CaLa2TiNi at its relaxed geometry.

Output
Space group: P4/mmm
Uncorrected energy, eV per atom: -3.942
Energy of formation from the pure elements, eV per formula unit: 5.82

Unit cell a=5.827 b=5.827 c=4.432 alpha=90.00 beta=90.00 gamma=90.00
Positions (direct):
Ca  0.000  0.000  0.000
La  0.000  0.500  0.000
La  0.500  0.000  0.000
Ti  0.500  0.500  0.500
Ni  0.000  0.000  0.500

=====

4.
VASP calculation (PBE) on crystalline CaLa2TlNi at its relaxed geometry.

Output
Space group: P4/mmm
Uncorrected energy, eV per atom: -4.137
Energy of formation from the pure elements, eV per formula unit: -0.68

Unit cell a=5.483 b=5.483 c=5.196 alpha=90.00 beta=90.00 gamma=90.00
Positions (direct):
Ca  0.000  0.000  0.000
La  0.000  0.500  0.500
La  0.500  0.000  0.500
Tl  0.500  0.500  0.000
Ni  0.500  0.500  0.500

=====

5.
VASP calculation (PBE) on crystalline CaLaTlNi at its relaxed geometry.

Output
Space group: F-43m
Uncorrected energy, eV per atom: -3.954
Energy of formation from the pure elements, eV per formula unit: -0.74

Unit cell a=7.496 b=7.496 c=7.496 alpha=90.00 beta=90.00 gamma=90.00
Positions (direct):
Ca  0.000  0.000  0.000
Ca  0.000  0.500  0.500
Ca  0.500  0.000  0.500
Ca  0.500  0.500  0.000
La  0.000  0.000  0.500
La  0.000  0.500  0.000
La  0.500  0.000  0.000
La  0.500  0.500  0.500
Tl  0.250  0.250  0.750
Tl  0.250  0.750  0.250
Tl  0.750  0.250  0.250
Tl  0.750  0.750  0.750
Ni  0.250  0.250  0.250
Ni  0.250  0.750  0.750
Ni  0.750  0.250  0.750
Ni  0.750  0.750  0.250

=====

6.
VASP calculation (PBE) on crystalline CaLa2TlNi at its relaxed geometry.

Output
Space group: P4/mmm
Uncorrected energy, eV per atom: -4.220
Energy of formation from the pure elements, eV per formula unit: -1.10

Unit cell a=5.363 b=5.363 c=5.507 alpha=90.00 beta=90.00 gamma=90.00
Positions (direct):
Ca  0.000  0.000  0.000
La  0.000  0.500  0.500
La  0.500  0.000  0.500
Tl  0.500  0.500  0.000
Ni  0.000  0.000  0.500

=====

7.
VASP calculation (PBE) on crystalline Ca2LaYNi at its relaxed geometry.

Output
Space group: P4/mmm
Uncorrected energy, eV per atom: -4.215
Energy of formation from the pure elements, eV per formula unit: 0.10

Unit cell a=5.604 b=5.604 c=5.238 alpha=90.00 beta=90.00 gamma=90.00
Positions (direct):
Ca  0.000  0.500  0.000
Ca  0.500  0.000  0.000
La  0.000  0.000  0.500
Y  0.500  0.500  0.500
Ni  0.500  0.500  0.000

=====

8.
VASP calculation (PBE) on crystalline CaLa2YNi at its relaxed geometry.

Output
Space group: P4/mmm
Uncorrected energy, eV per atom: -4.800
Energy of formation from the pure elements, eV per formula unit: 0.10

Unit cell a=5.463 b=5.463 c=5.672 alpha=90.00 beta=90.00 gamma=90.00
Positions (direct):
Ca  0.000  0.000  0.000
La  0.000  0.500  0.500
La  0.500  0.000  0.500
Y  0.500  0.500  0.000
Ni  0.000  0.000  0.500

=====

9.
VASP calculation (PBE) on crystalline CaLaY2Ni at its relaxed geometry.

Output
Space group: P4/mmm
Uncorrected energy, eV per atom: -5.200
Energy of formation from the pure elements, eV per formula unit: -0.36

Unit cell a=5.539 b=5.539 c=5.349 alpha=90.00 beta=90.00 gamma=90.00
Positions (direct):
Ca  0.000  0.000  0.000
La  0.500  0.500  0.000
Y  0.000  0.500  0.500
Y  0.500  0.000  0.500
Ni  0.500  0.500  0.500

=====

10.
VASP calculation (PBE) on crystalline CaLaY2Ni at its relaxed geometry.

Output
Space group: P4/mmm
Uncorrected energy, eV per atom: -5.151
Energy of formation from the pure elements, eV per formula unit: -0.11

Unit cell a=5.355 b=5.355 c=5.564 alpha=90.00 beta=90.00 gamma=90.00
Positions (direct):
Ca  0.000  0.000  0.000
La  0.500  0.500  0.000
Y  0.000  0.500  0.500
Y  0.500  0.000  0.500
Ni  0.000  0.000  0.500

=====

11.
VASP calculation (PBE) on crystalline CaLa2YNi at its relaxed geometry.

Output
Space group: P4/mmm
Uncorrected energy, eV per atom: -4.879
Energy of formation from the pure elements, eV per formula unit: -0.29

Unit cell a=5.497 b=5.497 c=5.666 alpha=90.00 beta=90.00 gamma=90.00
Positions (direct):
Ca  0.000  0.000  0.000
La  0.000  0.500  0.500
La  0.500  0.000  0.500
Y  0.500  0.500  0.000
Ni  0.500  0.500  0.500

=====

12.
VASP calculation (PBE) on crystalline CaLaZnNi at its relaxed geometry.

Output
Space group: F-43m
Uncorrected energy, eV per atom: -3.703
Energy of formation from the pure elements, eV per formula unit: -0.83

Unit cell a=7.200 b=7.200 c=7.200 alpha=90.00 beta=90.00 gamma=90.00
Positions (direct):
Ca  0.000  0.000  0.000
Ca  0.000  0.500  0.500
Ca  0.500  0.000  0.500
Ca  0.500  0.500  0.000
La  0.000  0.000  0.500
La  0.000  0.500  0.000
La  0.500  0.000  0.000
La  0.500  0.500  0.500
Zn  0.250  0.250  0.250
Zn  0.250  0.750  0.750
Zn  0.750  0.250  0.750
Zn  0.750  0.750  0.250
Ni  0.250  0.250  0.750
Ni  0.250  0.750  0.250
Ni  0.750  0.250  0.250
Ni  0.750  0.750  0.750